[1]
Dy8Pd2Pt | GGA-PBE | optimized geometry

The structure in POSCAR format:
```
Dy8Pd2Pt
1.0
8.750 -2.536 0.000
8.750 2.536 0.000
-1.659 0.000 6.504
Dy Pd Pt
8 2 1
direct
0.033 0.033 0.284 Dy
0.205 0.205 0.830 Dy
0.334 0.334 0.519 Dy
0.411 0.411 0.053 Dy
0.589 0.589 0.947 Dy
0.666 0.666 0.481 Dy
0.795 0.795 0.170 Dy
0.967 0.967 0.716 Dy
0.187 0.187 0.235 Pd
0.813 0.813 0.765 Pd
0.500 0.500 0.500 Pt
```

## Properties
Its formation energy is -0.5543 eV/atom.

=====

[2]
La2PrMg | GGA-PBE | optimized geometry

The structure in POSCAR format:
```
La2PrMg
1.0
3.834 0.000 0.000
0.000 3.834 0.000
0.000 0.000 9.271
La Pr Mg
2 1 1
direct
0.000 0.000 0.228 La
0.000 0.000 0.772 La
0.500 0.500 0.500 Pr
0.500 0.500 0.000 Mg
```

## Properties
Its formation energy is -0.0439 eV/atom.

=====

[3]
NbCrPdN2 | GGA-PBE | optimized geometry

The structure in POSCAR format:
```
NbCrPdN2
1.0
3.785 0.000 0.000
0.000 3.785 0.000
0.000 0.000 5.351
Nb Cr Pd N
1 1 1 2
direct
0.000 0.000 0.000 Nb
0.500 0.500 0.000 Cr
0.000 0.000 0.500 Pd
0.000 0.500 0.500 N
0.500 0.000 0.500 N
```

## Properties
The uncorrected formation energy is 2.107 eV per atom.

=====

[4]
Ho5Tl2Ru2Pt | GGA-PBE | optimized geometry

The structure in POSCAR format:
```
Ho5Tl2Ru2Pt
1.0
11.732 0.000 0.000
0.000 11.732 0.000
0.000 0.000 3.483
Ho Tl Ru Pt
10 4 4 2
direct
0.000 0.500 0.000 Ho
0.068 0.198 0.000 Ho
0.198 0.932 0.000 Ho
0.302 0.432 0.000 Ho
0.432 0.698 0.000 Ho
0.500 0.000 0.000 Ho
0.568 0.302 0.000 Ho
0.698 0.568 0.000 Ho
0.802 0.068 0.000 Ho
0.932 0.802 0.000 Ho
0.178 0.678 0.500 Tl
0.322 0.178 0.500 Tl
0.678 0.822 0.500 Tl
0.822 0.322 0.500 Tl
0.135 0.365 0.500 Ru
0.365 0.865 0.500 Ru
0.635 0.135 0.500 Ru
0.865 0.635 0.500 Ru
0.000 0.000 0.500 Pt
0.500 0.500 0.500 Pt
```

## Properties
Its formation energy is -0.4788 eV/atom.

=====

[5]
Y3Er4Pt4 | GGA-PBE | optimized geometry

The structure in POSCAR format:
```
Y3Er4Pt4
1.0
-1.922 4.353 8.075
1.922 -4.353 8.075
1.922 4.353 -8.075
Y Er Pt
3 4 4
direct
0.000 0.000 0.000 Y
0.400 0.900 0.500 Y
0.600 0.100 0.500 Y
0.022 0.334 0.688 Er
0.354 0.666 0.688 Er
0.646 0.334 0.312 Er
0.978 0.666 0.312 Er
0.252 0.252 0.000 Pt
0.294 0.500 0.794 Pt
0.706 0.500 0.206 Pt
0.748 0.748 0.000 Pt
```

## Properties
Its formation energy is -0.9411 eV/atom.

=====

[6]
LiScTl2As | GGA-PBE | optimized geometry

The structure in POSCAR format:
```
LiScTl2As
1.0
5.554 0.000 0.000
0.000 5.554 0.000
0.000 0.000 5.274
Li Sc Tl As
1 1 2 1
direct
0.000 0.000 0.000 Li
0.000 0.000 0.500 Sc
0.000 0.500 0.500 Tl
0.500 0.000 0.500 Tl
0.500 0.500 0.000 As
```

## Properties
Its formation energy is 0.7542 eV/atom.

=====

[7]
Sm5Ru2Pb | GGA-PBE | optimized geometry

The structure in POSCAR format:
```
Sm5Ru2Pb
1.0
-3.936 3.936 7.042
3.936 -3.936 7.042
3.936 3.936 -7.042
Sm Ru Pb
10 4 2
direct
0.000 0.000 0.000 Sm
0.028 0.528 0.818 Sm
0.210 0.028 0.500 Sm
0.290 0.790 0.818 Sm
0.472 0.290 0.500 Sm
0.500 0.500 0.000 Sm
0.528 0.710 0.500 Sm
0.710 0.210 0.182 Sm
0.790 0.972 0.500 Sm
0.972 0.472 0.182 Sm
0.142 0.358 0.500 Ru
0.358 0.858 0.216 Ru
0.642 0.142 0.784 Ru
0.858 0.642 0.500 Ru
0.250 0.250 0.000 Pb
0.750 0.750 0.000 Pb
```

## Properties
Its formation energy is -0.3643 eV/atom.

=====

[8]
LiSc2Pt | GGA-PBE | optimized geometry

The structure in POSCAR format:
```
LiSc2Pt
1.0
0.000 3.301 3.301
3.301 0.000 3.301
3.301 3.301 0.000
Li Sc Pt
1 2 1
direct
0.000 0.000 0.000 Li
0.250 0.250 0.250 Sc
0.750 0.750 0.750 Sc
0.500 0.500 0.500 Pt
```

## Properties
Its formation energy is -0.7393 eV/atom.

=====

[9]
TaFe2ReH | GGA-PBE | optimized geometry

The structure in POSCAR format:
```
TaFe2ReH
1.0
3.795 0.000 0.000
0.000 3.795 0.000
0.000 0.000 3.886
Ta Fe Re H
1 2 1 1
direct
0.000 0.000 0.000 Ta
0.000 0.500 0.500 Fe
0.500 0.000 0.500 Fe
0.500 0.500 0.000 Re
0.500 0.500 0.500 H
```

## Properties
The total energy comes out at -8.906 eV/atom.

=====

[10]
YSnHg2 | GGA-PBE | optimized geometry

The structure in POSCAR format:
```
YSnHg2
1.0
3.915 0.000 0.000
0.000 3.915 0.000
0.000 0.000 6.622
Y Sn Hg
1 1 2
direct
0.000 0.000 0.000 Y
0.000 0.000 0.500 Sn
0.500 0.500 0.251 Hg
0.500 0.500 0.749 Hg
```

## Properties
Its formation energy is -0.2865 eV/atom.

=====

[11]
PrSmZrSc | GGA-PBE | optimized geometry

The structure in POSCAR format:
```
PrSmZrSc
1.0
0.000 3.853 3.853
3.853 0.000 3.853
3.853 3.853 0.000
Pr Sm Zr Sc
1 1 1 1
direct
0.000 0.000 0.000 Pr
0.750 0.750 0.750 Sm
0.500 0.500 0.500 Zr
0.250 0.250 0.250 Sc
```

## Properties
Its formation energy is 0.2334 eV/atom.

=====

[12]
Li2TmSbSe4 | GGA-PBE | optimized geometry

The structure in POSCAR format:
```
Li2TmSbSe4
1.0
6.912 0.000 0.000
0.000 4.043 0.000
-2.395 0.000 6.630
Li Tm Sb Se
2 1 1 4
direct
0.000 0.000 0.000 Li
0.000 0.500 0.500 Li
0.500 0.000 0.500 Tm
0.500 0.500 0.000 Sb
0.244 0.000 0.743 Se
0.249 0.500 0.252 Se
0.751 0.500 0.748 Se
0.756 0.000 0.257 Se
```

## Properties
The uncorrected formation energy is -1.160 eV per atom.

=====

Summary of magnetization in μB per formula unit
0.00 0.00 0.00 0.00 0.00 1.16 0.00 0.00 1.33 0.00 0.85 0.00
(order as listed above)